Below is an optimized crystal structure of CdRe2Hg, with properties calculated at the PBE level.

```
data_CdRe2Hg
_cell_length_a 3.172
_cell_length_b 4.523
_cell_length_c 4.875
_cell_angle_alpha 90.00
_cell_angle_beta 90.00
_cell_angle_gamma 90.00
_space_group_name_H-M_alt 'P m m m'
_space_group_IT_number 47
loop_
_space_group_symop_operation_xyz
'x,y,z'
'-x,-y,-z'
'-x,-y,z'
'x,y,-z'
'x,-y,-z'
'-x,y,z'
'-x,y,-z'
'x,-y,z'
loop_
_atom_site_label
_atom_site_type_symbol
_atom_site_fract_x
_atom_site_fract_y
_atom_site_fract_z
Cd1 Cd 0.000 0.000 0.000
Re1 Re 0.000 0.500 0.500
Re2 Re 0.500 0.000 0.500
Hg1 Hg 0.500 0.500 0.000
```

density of states at the Fermi level = 0.929 states/eV/atom
DFT formation energy = 331 kJ/mol of formula units
E above lowest polymorph = 544 meV per atom
crystal system = orthorhombic